# 1
Material: Tb7Er3Cd
Method: DFT, PBE
State: optimized geometry

Cell lengths 6.943, 6.943, 8.498 Å; angles 90.00, 90.00, 120.00 degrees
Sites, in units of the cell vectors:
Tb: 0.000 0.000 0.000
Tb: 0.002 0.501 0.994
Tb: 0.327 0.164 0.666
Tb: 0.499 0.501 0.994
Tb: 0.499 0.998 0.994
Tb: 0.836 0.164 0.666
Tb: 0.836 0.673 0.666
Er: 0.165 0.331 0.330
Er: 0.165 0.835 0.330
Er: 0.669 0.835 0.330
Cd: 0.333 0.667 0.663

Calculated values
For the electronic total energy, the calculation gives -45.22 eV per cell. The magnetization is 0.00 μB per formula unit. As for the energy of formation from the pure elements: 0.163 eV/atom. The space group is No. 156.

# 2
Material: LaNd5Al3
Method: DFT, PBE
State: optimized geometry

Cell lengths 9.360, 9.360, 6.910 Å; angles 90.00, 90.00, 120.00 degrees
Sites, in units of the cell vectors:
La: 0.000 0.000 0.000
La: 0.000 0.000 0.500
Nd: 0.000 0.330 0.250
Nd: 0.000 0.670 0.750
Nd: 0.330 0.000 0.250
Nd: 0.330 0.330 0.750
Nd: 0.333 0.667 0.000
Nd: 0.333 0.667 0.500
Nd: 0.667 0.333 0.000
Nd: 0.667 0.333 0.500
Nd: 0.670 0.000 0.750
Nd: 0.670 0.670 0.250
Al: 0.000 0.339 0.750
Al: 0.000 0.661 0.250
Al: 0.339 0.000 0.750
Al: 0.339 0.339 0.250
Al: 0.661 0.000 0.250
Al: 0.661 0.661 0.750

Calculated values
For the electronic total energy, the calculation gives -83.95 eV per cell. The magnetization is 0.00 μB per formula unit. As for the energy of formation from the pure elements: -0.220 eV/atom. The space group is No. 193.

# 3
Material: Li4Ag3PbF12
Method: DFT, PBE
State: optimized geometry

Cell lengths 6.776, 6.776, 6.776 Å; angles 109.47, 109.47, 109.47 degrees
Sites, in units of the cell vectors:
Li: 0.000 0.000 0.500
Li: 0.000 0.500 0.000
Li: 0.500 0.000 0.000
Li: 0.500 0.500 0.500
Ag: 0.000 0.500 0.500
Ag: 0.500 0.000 0.500
Ag: 0.500 0.500 0.000
Pb: 0.000 0.000 0.000
F: 0.114 0.817 0.297
F: 0.183 0.297 0.481
F: 0.183 0.703 0.886
F: 0.297 0.114 0.817
F: 0.297 0.481 0.183
F: 0.481 0.183 0.297
F: 0.519 0.817 0.703
F: 0.703 0.519 0.817
F: 0.703 0.886 0.183
F: 0.817 0.297 0.114
F: 0.817 0.703 0.519
F: 0.886 0.183 0.703

Calculated values
For the electronic total energy, the calculation gives -83.47 eV per cell. The energy relative to the elements, uncorrected comes out at -2.055 eV per atom. The magnetization is 3.00 μB per formula unit. The space group is No. 204.

# 4
Material: Ho3Sb4
Method: DFT, PBE
State: optimized geometry

Cell lengths 12.161, 12.161, 12.161 Å; angles 21.28, 21.28, 21.28 degrees
Sites, in units of the cell vectors:
Ho: 0.000 0.000 0.000
Ho: 0.239 0.239 0.239
Ho: 0.761 0.761 0.761
Sb: 0.146 0.146 0.146
Sb: 0.381 0.381 0.381
Sb: 0.619 0.619 0.619
Sb: 0.854 0.854 0.854

Calculated values
For the electronic total energy, the calculation gives -35.46 eV per cell. The energy relative to the elements, uncorrected comes out at -0.748 eV per atom. The magnetization is 0.00 μB per formula unit. The space group is No. 166.

- What is the magnetization in the second record?
  0.00 μB per formula unit